[1]
First-principles (SCAN) data for a crystal of Sc2CrCu relaxed with PBEsol, as listed in Alexandria via LeMat-Bulk.

```
data_Sc2CrCu
_chemical_formula_sum 'Sc2 Cr1 Cu1'
_space_group_name_H-M_alt 'P 1'
_space_group_IT_number 1
_space_group_name_Hall 'P 1'
_cell_length_a 4.5871
_cell_length_b 4.5871
_cell_length_c 4.5871
_cell_angle_alpha 60.00
_cell_angle_beta 60.00
_cell_angle_gamma 60.00
loop_
_atom_site_label
_atom_site_fract_x
_atom_site_fract_y
_atom_site_fract_z
Sc1 0.2500 0.2500 0.2500
Sc2 0.7500 0.7500 0.7500
Cu1 0.0000 0.0000 0.0000
Cr1 0.5000 0.5000 0.5000
```

**Size of the total moment**: 3.6 μB/f.u.
**DOS(E_F)**: 0.9223 states/eV per atom
**Polymorph energy (0 for the lowest one)**: 0 meV per atom

***

[2]
First-principles (SCAN) data for a crystal of MgGaN2 relaxed with PBEsol, as listed in Alexandria via LeMat-Bulk.

```
data_MgGaN2
_chemical_formula_sum 'Mg1 Ga1 N2'
_space_group_name_H-M_alt 'P 1'
_space_group_IT_number 1
_space_group_name_Hall 'P 1'
_cell_length_a 3.7908
_cell_length_b 3.7908
_cell_length_c 3.7908
_cell_angle_alpha 60.00
_cell_angle_beta 60.00
_cell_angle_gamma 60.00
loop_
_atom_site_label
_atom_site_fract_x
_atom_site_fract_y
_atom_site_fract_z
Ga1 0.5000 0.5000 0.5000
Mg1 0.0000 0.0000 0.0000
N1 0.2500 0.2500 0.2500
N2 0.7500 0.7500 0.7500
```

**Size of the total moment**: 0.0 μB/f.u.
**DOS(E_F)**: 0.5167 states/eV per atom
**ΔE_f (raw)**: 0.532 eV per atom

***

[3]
First-principles (SCAN) data for a crystal of CsNaTl2 relaxed with PBEsol, as listed in Alexandria via LeMat-Bulk.

```
data_CsNaTl2
_chemical_formula_sum 'Cs1 Na1 Tl2'
_space_group_name_H-M_alt 'P 1'
_space_group_IT_number 1
_space_group_name_Hall 'P 1'
_cell_length_a 5.8517
_cell_length_b 5.8517
_cell_length_c 5.8517
_cell_angle_alpha 60.00
_cell_angle_beta 60.00
_cell_angle_gamma 60.00
loop_
_atom_site_label
_atom_site_fract_x
_atom_site_fract_y
_atom_site_fract_z
Cs1 0.5000 0.5000 0.5000
Tl1 0.2500 0.2500 0.2500
Tl2 0.7500 0.7500 0.7500
Na1 0.0000 0.0000 0.0000
```

**E**: -46.66 eV per atom
**Size of the total moment**: 0.0 μB/f.u.
**DOS(E_F)**: 0.9140 states/eV per atom